(1)
PBE-GGA CaPm3, relaxed; crystal system = orthorhombic; space group = Pmm2 (25); DFT formation energy = 0.07 eV per atom
1.0
-2.8797 1.9430 1.2619
2.0049 -0.6349 5.5527
3.4316 5.4833 -0.6121
Ca Pm
1 3
Direct
0.0000 0.5000 0.3285 Ca
0.5000 0.0000 0.5124 Pm
0.5000 0.5000 0.8313 Pm
0.0000 0.0000 0.9944 Pm

(2)
PBE-GGA Ca5Pm3, relaxed; crystal system = monoclinic; space group = C2/m (12); DFT formation energy = 0.03 eV per atom
1.0
-1.7516 -1.6246 2.9140
1.2035 -2.1028 -2.8859
26.0337 -3.7998 3.7735
Ca Pm
5 3
Direct
0.5000 0.5000 0.5000 Ca
0.9915 0.0085 0.3708 Ca
0.5166 0.4834 0.7588 Ca
0.4834 0.5166 0.2412 Ca
0.0085 0.9915 0.6292 Ca
0.9862 0.0138 0.1156 Pm
0.0138 0.9862 0.8844 Pm
0.5000 0.5000 0.0000 Pm